A geometry-optimized Sm12In5Ge3 structure. Source: Alexandria via LeMat-Bulk, functional PBE.

Total magnetic moment ... 0.0 μB/f.u.
Space-group type ... Ia-3d (230)
ΔH_f (0 K) ... 0.04 eV/atom

```
Sm12In5Ge3
1.0
15.418 0.000 0.000
-5.139 14.536 0.000
-5.139 -7.268 12.588
Sm In Ge
48 20 12
Direct
0.071 0.164 0.435
0.336 0.771 0.408
0.429 0.363 0.592
0.065 0.637 0.729
0.863 0.592 0.929
0.363 0.935 0.771
0.729 0.592 0.164
0.229 0.565 0.637
0.092 0.929 0.363
0.771 0.435 0.363
0.929 0.836 0.565
0.164 0.092 0.729
0.565 0.229 0.137
0.336 0.565 0.429
0.637 0.571 0.908
0.836 0.929 0.065
0.271 0.863 0.935
0.863 0.271 0.435
0.429 0.065 0.336
0.664 0.435 0.571
0.435 0.771 0.863
0.935 0.363 0.271
0.771 0.336 0.908
0.592 0.729 0.664
0.571 0.637 0.408
0.836 0.908 0.271
0.065 0.429 0.836
0.092 0.164 0.229
0.408 0.137 0.571
0.565 0.336 0.929
0.229 0.664 0.092
0.435 0.664 0.071
0.071 0.908 0.137
0.137 0.408 0.071
0.164 0.071 0.935
0.271 0.408 0.836
0.664 0.229 0.592
0.908 0.836 0.771
0.935 0.571 0.164
0.363 0.429 0.092
0.408 0.271 0.336
0.908 0.071 0.637
0.929 0.092 0.863
0.137 0.729 0.565
0.571 0.935 0.664
0.729 0.137 0.065
0.592 0.863 0.429
0.637 0.065 0.229
0.375 0.250 0.125
0.375 0.125 0.750
0.000 0.000 0.500
0.875 0.625 0.750
0.750 0.125 0.875
0.250 0.875 0.125
0.000 0.000 0.000
0.625 0.875 0.250
0.125 0.375 0.250
0.750 0.625 0.375
0.500 0.000 0.000
0.250 0.375 0.625
0.000 0.500 0.500
0.625 0.750 0.875
0.000 0.500 0.000
0.500 0.500 0.500
0.500 0.500 0.000
0.500 0.000 0.500
0.125 0.750 0.375
0.875 0.250 0.625
0.750 0.875 0.625
0.250 0.625 0.875
0.875 0.750 0.125
0.375 0.625 0.250
0.250 0.125 0.375
0.375 0.750 0.625
0.625 0.375 0.750
0.875 0.125 0.250
0.125 0.875 0.750
0.125 0.250 0.875
0.750 0.375 0.125
0.625 0.250 0.375
```